# 1
This record from Alexandria via LeMat-Bulk describes a relaxed NaHfCu4 crystal. The functional is PBE.

DOS(E_F) = 6.54 states/eV/cell
ΔH_f (0 K) = 0.1091 eV/atom
symmetry = F-43m (216)
total DFT energy (no corrections) = -0.1654 Ha/atom
magnetic moment = 0.0 μB per cell

a b c (Å): 5.030 5.030 5.030
angles (deg): 60.00 60.00 60.00
Fractional coordinates of all 6 atoms:
Na  0.000  0.000  0.000
Hf  0.250  0.250  0.250
Cu  0.124  0.625  0.625
Cu  0.625  0.124  0.625
Cu  0.625  0.625  0.124
Cu  0.625  0.625  0.625

***

# 2
This record from Alexandria via LeMat-Bulk describes a relaxed Ba2UBe2O6 crystal. The functional is PBE.

DOS(E_F) = 7.06 states/eV/cell
energy relative to the elements, uncorrected = -2.805 eV/atom
symmetry = R-3m (166)
total DFT energy (no corrections) = -0.2779 Ha/atom
magnetic moment = 2.0 μB per cell

a b c (Å): 6.722 6.722 6.722
angles (deg): 50.21 50.21 50.21
Fractional coordinates of all 11 atoms:
Ba  0.217  0.217  0.217
Ba  0.783  0.783  0.783
U  0.000  0.000  0.000
Be  0.417  0.417  0.417
Be  0.583  0.583  0.583
O  0.257  0.257  0.729
O  0.257  0.729  0.257
O  0.271  0.743  0.743
O  0.729  0.257  0.257
O  0.743  0.271  0.743
O  0.743  0.743  0.271

***

# 3
This record from Alexandria via LeMat-Bulk describes a relaxed Nb4FeN crystal. The functional is PBE.

DOS(E_F) = 9.58 states/eV/cell
energy relative to the elements, uncorrected = -0.247 eV/atom
symmetry = P2_1/c (14)
total DFT energy (no corrections) = -0.3586 Ha/atom
magnetic moment = 0.0 μB per cell

a b c (Å): 5.610 5.372 6.262
angles (deg): 90.00 103.06 90.00
Fractional coordinates of all 12 atoms:
Nb  0.100  0.160  0.204
Nb  0.100  0.340  0.704
Nb  0.356  0.626  0.127
Nb  0.356  0.874  0.627
Nb  0.644  0.126  0.373
Nb  0.644  0.374  0.873
Nb  0.900  0.660  0.296
Nb  0.900  0.840  0.796
Fe  0.500  0.000  0.000
Fe  0.500  0.500  0.500
N  0.000  0.000  0.500
N  0.000  0.500  0.000

***

# 4
This record from Alexandria via LeMat-Bulk describes a relaxed PmTm4Mg crystal. The functional is PBE.

DOS(E_F) = 18.63 states/eV/cell
ΔH_f (0 K) = 0.0551 eV/atom
symmetry = C2/c (15)
total DFT energy (no corrections) = -0.1464 Ha/atom
magnetic moment = 0.0 μB per cell

a b c (Å): 8.221 8.221 6.480
angles (deg): 109.72 109.72 102.68
Fractional coordinates of all 12 atoms:
Pm  0.162  0.838  0.750
Pm  0.838  0.162  0.250
Tm  0.145  0.524  0.258
Tm  0.267  0.413  0.768
Tm  0.413  0.267  0.268
Tm  0.476  0.855  0.242
Tm  0.524  0.145  0.758
Tm  0.587  0.733  0.732
Tm  0.733  0.587  0.232
Tm  0.855  0.476  0.742
Mg  0.092  0.908  0.250
Mg  0.908  0.092  0.750

***

# 5
This record from Alexandria via LeMat-Bulk describes a relaxed Rh2C crystal. The functional is PBE.

DOS(E_F) = 8.22 states/eV/cell
ΔH_f (0 K) = 0.3018 eV/atom
symmetry = Pa-3 (205)
total DFT energy (no corrections) = -0.2820 Ha/atom
magnetic moment = 0.0 μB per cell

a b c (Å): 5.185 5.185 5.185
angles (deg): 90.00 90.00 90.00
Fractional coordinates of all 12 atoms:
Rh  0.158  0.158  0.158
Rh  0.158  0.342  0.658
Rh  0.342  0.658  0.158
Rh  0.342  0.842  0.658
Rh  0.658  0.158  0.342
Rh  0.658  0.342  0.842
Rh  0.842  0.658  0.342
Rh  0.842  0.842  0.842
C  0.000  0.000  0.500
C  0.000  0.500  0.000
C  0.500  0.000  0.000
C  0.500  0.500  0.500

***

# 6
This record from Alexandria via LeMat-Bulk describes a relaxed Dy4HoEr8 crystal. The functional is PBE.

DOS(E_F) = 16.29 states/eV/cell
ΔH_f (0 K) = 0.2267 eV/atom
symmetry = R-3m (166)
total DFT energy (no corrections) = -0.1598 Ha/atom
magnetic moment = 0.0 μB per cell

a b c (Å): 9.902 9.902 9.902
angles (deg): 42.71 42.71 42.71
Fractional coordinates of all 13 atoms:
Dy  0.000  0.000  0.000
Dy  0.000  0.500  0.500
Dy  0.500  0.000  0.500
Dy  0.500  0.500  0.000
Ho  0.500  0.500  0.500
Er  0.196  0.750  0.750
Er  0.216  0.216  0.216
Er  0.250  0.250  0.804
Er  0.250  0.804  0.250
Er  0.750  0.196  0.750
Er  0.750  0.750  0.196
Er  0.784  0.784  0.784
Er  0.804  0.250  0.250

***

# 7
This record from Alexandria via LeMat-Bulk describes a relaxed Cu2Pt crystal. The functional is PBE.

DOS(E_F) = 2.60 states/eV/cell
ΔH_f (0 K) = -0.0646 eV/atom
symmetry = Cmcm (63)
total DFT energy (no corrections) = -0.1767 Ha/atom
magnetic moment = 0.0 μB per cell

a b c (Å): 6.931 6.931 4.433
angles (deg): 90.00 90.00 157.65
Fractional coordinates of all 6 atoms:
Cu  0.051  0.949  0.750
Cu  0.394  0.606  0.750
Cu  0.606  0.394  0.250
Cu  0.949  0.051  0.250
Pt  0.282  0.718  0.250
Pt  0.718  0.282  0.750

***

# 8
This record from Alexandria via LeMat-Bulk describes a relaxed Nd5Pt2O12 crystal. The functional is PBE.

DOS(E_F) = 10.86 states/eV/cell
energy relative to the elements, uncorrected = -2.449 eV/atom
symmetry = C2/m (12)
total DFT energy (no corrections) = -0.2745 Ha/atom
magnetic moment = 0.5 μB per cell

a b c (Å): 7.134 7.134 7.538
angles (deg): 105.38 105.38 51.06
Fractional coordinates of all 19 atoms:
Nd  0.000  0.000  0.000
Nd  0.301  0.301  0.141
Nd  0.304  0.304  0.664
Nd  0.696  0.696  0.336
Nd  0.699  0.699  0.859
Pt  0.247  0.753  0.500
Pt  0.753  0.247  0.500
O  0.000  0.000  0.326
O  0.000  0.000  0.674
O  0.096  0.599  0.925
O  0.099  0.573  0.418
O  0.401  0.904  0.075
O  0.427  0.901  0.582
O  0.500  0.500  0.323
O  0.500  0.500  0.677
O  0.573  0.099  0.418
O  0.599  0.096  0.925
O  0.901  0.427  0.582
O  0.904  0.401  0.075

***

# 9
This record from Alexandria via LeMat-Bulk describes a relaxed Sr7Hg2Au2 crystal. The functional is PBE.

DOS(E_F) = 9.59 states/eV/cell
ΔH_f (0 K) = -0.4034 eV/atom
symmetry = Cmmm (65)
total DFT energy (no corrections) = -0.0781 Ha/atom
magnetic moment = 0.0 μB per cell

a b c (Å): 7.582 7.582 7.896
angles (deg): 90.00 90.00 107.44
Fractional coordinates of all 11 atoms:
Sr  0.000  0.000  0.000
Sr  0.000  0.500  0.264
Sr  0.000  0.500  0.736
Sr  0.500  0.000  0.264
Sr  0.500  0.000  0.736
Sr  0.500  0.500  0.250
Sr  0.500  0.500  0.750
Hg  0.177  0.177  0.500
Hg  0.823  0.823  0.500
Au  0.289  0.711  0.000
Au  0.711  0.289  0.000

***

# 10
This record from Alexandria via LeMat-Bulk describes a relaxed Mg2ScZn crystal. The functional is PBE.

DOS(E_F) = 3.00 states/eV/cell
ΔH_f (0 K) = -0.1861 eV/atom
symmetry = I4/mmm (139)
total DFT energy (no corrections) = -0.1060 Ha/atom
magnetic moment = 0.0 μB per cell

a b c (Å): 8.434 8.434 8.434
angles (deg): 148.48 148.48 45.18
Fractional coordinates of all 8 atoms:
Mg  0.000  0.500  0.500
Mg  0.142  0.142  0.000
Mg  0.500  0.000  0.500
Mg  0.858  0.858  0.000
Sc  0.354  0.354  0.000
Sc  0.646  0.646  0.000
Zn  0.250  0.750  0.500
Zn  0.750  0.250  0.500

***

# 11
This record from Alexandria via LeMat-Bulk describes a relaxed DyTeBrO4 crystal. The functional is PBE.

DOS(E_F) = 0.17 states/eV/cell
energy relative to the elements, uncorrected = -1.683 eV/atom
symmetry = C2/m (12)
total DFT energy (no corrections) = -0.2154 Ha/atom
magnetic moment = 0.0 μB per cell

a b c (Å): 6.446 6.446 7.024
angles (deg): 103.62 103.62 68.27
Fractional coordinates of all 14 atoms:
Dy  0.230  0.230  0.121
Dy  0.770  0.770  0.879
Te  0.365  0.365  0.732
Te  0.635  0.635  0.268
Br  0.008  0.008  0.757
Br  0.992  0.992  0.243
O  0.110  0.483  0.856
O  0.294  0.294  0.464
O  0.457  0.457  0.197
O  0.483  0.110  0.856
O  0.517  0.890  0.144
O  0.543  0.543  0.803
O  0.706  0.706  0.536
O  0.890  0.517  0.144

***

# 12
This record from Alexandria via LeMat-Bulk describes a relaxed BeCu2F crystal. The functional is PBE.

DOS(E_F) = 1.31 states/eV/cell
energy relative to the elements, uncorrected = -0.001 eV/atom
symmetry = Fm-3m (225)
total DFT energy (no corrections) = -0.1267 Ha/atom
magnetic moment = 0.0 μB per cell

a b c (Å): 3.969 3.969 3.969
angles (deg): 60.00 60.00 60.00
Fractional coordinates of all 4 atoms:
Be  0.000  0.000  0.000
Cu  0.250  0.250  0.250
Cu  0.750  0.750  0.750
F  0.500  0.500  0.500

***

# 13
This record from Alexandria via LeMat-Bulk describes a relaxed Na2In4Cu crystal. The functional is PBE.

DOS(E_F) = 2.54 states/eV/cell
ΔH_f (0 K) = 0.0879 eV/atom
symmetry = I4/mmm (139)
total DFT energy (no corrections) = -0.0896 Ha/atom
magnetic moment = 0.0 μB per cell

a b c (Å): 8.879 8.879 8.879
angles (deg): 146.92 146.92 47.48
Fractional coordinates of all 7 atoms:
Na  0.144  0.144  0.000
Na  0.856  0.856  0.000
In  0.000  0.500  0.500
In  0.335  0.335  0.000
In  0.500  0.000  0.500
In  0.665  0.665  0.000
Cu  0.500  0.500  0.000

***

# 14
This record from Alexandria via LeMat-Bulk describes a relaxed NdDy2Cd3 crystal. The functional is PBE.

DOS(E_F) = 6.75 states/eV/cell
ΔH_f (0 K) = -0.3153 eV/atom
symmetry = P4/mmm (123)
total DFT energy (no corrections) = -0.1140 Ha/atom
magnetic moment = 0.8 μB per cell

a b c (Å): 3.773 3.773 11.395
angles (deg): 90.00 90.00 90.00
Fractional coordinates of all 6 atoms:
Nd  0.000  0.000  0.000
Dy  0.000  0.000  0.337
Dy  0.000  0.000  0.663
Cd  0.500  0.500  0.178
Cd  0.500  0.500  0.500
Cd  0.500  0.500  0.822

***

# 15
This record from Alexandria via LeMat-Bulk describes a relaxed NbTe2HN crystal. The functional is PBE.

DOS(E_F) = 3.44 states/eV/cell
symmetry = P4/mmm (123)
total DFT energy (no corrections) = -0.1830 Ha/atom
magnetic moment = 0.5 μB per cell

a b c (Å): 5.597 5.597 3.893
angles (deg): 90.00 90.00 90.00
Fractional coordinates of all 5 atoms:
Nb  0.000  0.000  0.000
Te  0.000  0.500  0.000
Te  0.500  0.000  0.000
H  0.500  0.500  0.500
N  0.000  0.000  0.500

***

# 16
This record from Alexandria via LeMat-Bulk describes a relaxed Zn2CdAs crystal. The functional is PBE.

DOS(E_F) = 1.00 states/eV/cell
ΔH_f (0 K) = 0.0872 eV/atom
symmetry = Cm (8)
total DFT energy (no corrections) = -0.0713 Ha/atom
magnetic moment = 0.0 μB per cell

a b c (Å): 4.208 4.208 6.502
angles (deg): 110.42 110.42 53.13
Fractional coordinates of all 4 atoms:
Zn  0.000  0.000  0.000
Zn  0.208  0.208  0.768
Cd  0.796  0.796  0.264
As  0.463  0.463  0.623

***

# 17
This record from Alexandria via LeMat-Bulk describes a relaxed K2RbBa crystal. The functional is PBE.

DOS(E_F) = 4.49 states/eV/cell
ΔH_f (0 K) = 0.1136 eV/atom
symmetry = R-3m (166)
total DFT energy (no corrections) = -0.0425 Ha/atom
magnetic moment = 0.0 μB per cell

a b c (Å): 16.952 16.952 16.952
angles (deg): 15.42 15.42 15.42
Fractional coordinates of all 4 atoms:
K  0.085  0.085  0.085
K  0.915  0.915  0.915
Rb  0.500  0.500  0.500
Ba  0.000  0.000  0.000